No. 1
First-principles (GGA-PBE) data for a geometry-optimized Ho2SnIr structure, as listed in the Alexandria database.

Results
- E above lowest polymorph (kJ/mol of atoms) = 18.3
- total magnetization (μB per cell) = 0.0
- energy (eV per atom) = -6.123

Lattice parameters (Å, degrees): 5.064 5.064 5.064 60.00 60.00 60.00
Sites, in units of the cell vectors:
Ho 0.250 0.250 0.250
Ho 0.750 0.750 0.750
Ir 0.000 0.000 0.000
Sn 0.500 0.500 0.500


No. 2
First-principles (GGA-PBE) data for a geometry-optimized Ho8SnIr2 structure, as listed in the Alexandria database.

Results
- total magnetization (μB per cell) = 0.0
- energy (eV per atom) = -5.800

Lattice parameters (Å, degrees): 5.445 7.876 7.876 112.95 97.64 97.64
Sites, in units of the cell vectors:
Ir 0.500 0.313 0.693
Ir 0.500 0.693 0.313
Ho 0.000 0.250 0.756
Sn 0.000 0.003 0.003
Ho 0.421 0.673 0.932
Ho 0.800 0.615 0.615
Ho 0.578 0.333 0.074
Ho 0.000 0.756 0.250
Ho 0.578 0.074 0.333
Ho 0.201 0.392 0.392
Ho 0.421 0.932 0.673


No. 3
First-principles (GGA-PBE) data for a geometry-optimized Ho2SnIr structure, as listed in the Alexandria database.

Results
- E above lowest polymorph (kJ/mol of atoms) = 3.8
- total magnetization (μB per cell) = 0.0
- energy (eV per atom) = -6.273

Lattice parameters (Å, degrees): 3.445 3.445 7.890 90.00 90.00 90.00
Sites, in units of the cell vectors:
Ho 0.000 0.000 0.211
Ir 0.500 0.500 0.000
Ho 0.000 0.000 0.789
Sn 0.500 0.500 0.500


No. 4
First-principles (GGA-PBE) data for a geometry-optimized HoSnIr2 structure, as listed in the Alexandria database.

Results
- total magnetization (μB per cell) = 0.0
- energy (eV per atom) = -7.040

Lattice parameters (Å, degrees): 3.458 3.458 6.257 90.00 90.00 90.00
Sites, in units of the cell vectors:
Ho 0.500 0.500 0.500
Sn 0.500 0.500 0.000
Ir 0.000 0.000 0.234
Ir 0.000 0.000 0.766


No. 5
First-principles (GGA-PBE) data for a geometry-optimized HoSnIr structure, as listed in the Alexandria database.

Results
- total magnetization (μB per cell) = 0.0
- energy (eV per atom) = -6.351

Lattice parameters (Å, degrees): 3.307 3.307 6.254 105.33 105.33 90.00
Sites, in units of the cell vectors:
Ho 0.599 0.599 0.198
Sn 0.306 0.306 0.612
Ir 0.945 0.945 0.890


No. 6
First-principles (GGA-PBE) data for a geometry-optimized Ho5Sn2Ir structure, as listed in the Alexandria database.

Results
- total magnetization (μB per cell) = 0.0
- energy (eV per atom) = -5.228

Lattice parameters (Å, degrees): 5.637 8.163 13.818 90.00 90.00 110.20
Sites, in units of the cell vectors:
Ho 0.713 0.426 0.904
Ho 0.051 0.101 0.119
Sn 0.145 0.290 0.575
Sn 0.855 0.710 0.075
Ir 0.822 0.643 0.750
Ho 0.051 0.101 0.381
Ho 0.287 0.574 0.404
Ho 0.949 0.899 0.619
Ho 0.713 0.426 0.596
Ho 0.949 0.899 0.881
Ho 0.287 0.574 0.096
Ho 0.714 0.428 0.250
Ho 0.286 0.572 0.750
Sn 0.855 0.710 0.425
Ir 0.178 0.357 0.250
Sn 0.145 0.290 0.925


No. 7
First-principles (GGA-PBE) data for a geometry-optimized Ho2SnIr2 structure, as listed in the Alexandria database.

Results
- total magnetization (μB per cell) = 0.0
- energy (eV per atom) = -7.019

Lattice parameters (Å, degrees): 5.508 5.744 8.023 102.98 90.00 118.65
Sites, in units of the cell vectors:
Sn 0.833 0.000 0.250
Ho 0.806 0.295 0.650
Ir 0.999 0.279 0.000
Ir 0.721 0.721 0.500
Ho 0.511 0.705 0.850
Ho 0.489 0.295 0.150
Ir 0.001 0.721 0.000
Ho 0.194 0.705 0.350
Sn 0.167 0.000 0.750
Ir 0.279 0.279 0.500


No. 8
First-principles (GGA-PBE) data for a geometry-optimized HoSnIr structure, as listed in the Alexandria database.

Results
- total magnetization (μB per cell) = 0.0
- energy (eV per atom) = -6.658

Lattice parameters (Å, degrees): 7.491 7.491 3.919 90.00 90.00 120.00
Sites, in units of the cell vectors:
Ho 0.000 0.595 0.500
Sn 0.740 0.740 0.000
Ir 0.333 0.667 0.000
Ir 0.667 0.333 0.000
Ir 0.000 0.000 0.500
Sn 0.260 0.000 0.000
Ho 0.595 0.000 0.500
Ho 0.405 0.405 0.500
Sn 0.000 0.260 0.000


Formation energy from the elements / eV/atom: -0.62 -0.50 -0.77 -0.46 -0.54 -0.26 -0.84 -0.84